(1)
VASP calculation (PBE) on a geometry-optimized Ac3LaPm2Te6 structure.

Summary:
Formation energy from raw total energies in meV/atom: -1477.3

a b c (Å): 10.348 10.348 9.305
angles (deg): 103.69 103.69 25.63
Element x y z (fractional)
Ac  0.000  0.000  0.000
Ac  0.335  0.335  0.668
Ac  0.665  0.665  0.332
La  0.000  0.000  0.500
Pm  0.333  0.333  0.166
Pm  0.667  0.667  0.834
Te  0.166  0.166  0.594
Te  0.170  0.170  0.073
Te  0.495  0.495  0.254
Te  0.505  0.505  0.746
Te  0.830  0.830  0.927
Te  0.834  0.834  0.406

=====

(2)
VASP calculation (PBE) on a geometry-optimized KSrW2 structure.

Summary:
Excess energy over the best structure of this formula in the dataset in meV per atom: 690

a b c (Å): 2.809 2.809 11.755
angles (deg): 90.00 90.00 101.25
Element x y z (fractional)
K  0.000  0.000  0.000
Sr  0.000  0.000  0.500
W  0.500  0.500  0.264
W  0.500  0.500  0.736

=====

(3)
VASP calculation (PBE) on a geometry-optimized MgScAgBi structure.

Summary:
Total energy in eV per atom: -3.850

a b c (Å): 5.051 5.051 5.051
angles (deg): 60.00 60.00 60.00
Element x y z (fractional)
Mg  0.000  0.000  0.000
Sc  0.500  0.500  0.500
Ag  0.750  0.750  0.750
Bi  0.250  0.250  0.250

=====

(4)
VASP calculation (PBE) on a geometry-optimized Mg2TaSb structure.

Summary:
Formation energy from raw total energies in meV/atom: 263.6

a b c (Å): 3.525 4.633 5.035
angles (deg): 90.00 90.00 90.00
Element x y z (fractional)
Mg  0.000  0.000  0.000
Mg  0.500  0.500  0.000
Ta  0.000  0.500  0.500
Sb  0.500  0.000  0.500

=====

(5)
VASP calculation (PBE) on a geometry-optimized Pm3Al3Ge2 structure.

Summary:
Excess energy over the best structure of this formula in the dataset in meV per atom: 54

a b c (Å): 5.923 5.923 15.248
angles (deg): 90.00 90.00 137.03
Element x y z (fractional)
Pm  0.063  0.937  0.612
Pm  0.063  0.937  0.888
Pm  0.342  0.658  0.750
Pm  0.658  0.342  0.250
Pm  0.937  0.063  0.112
Pm  0.937  0.063  0.388
Al  0.374  0.626  0.537
Al  0.374  0.626  0.963
Al  0.380  0.620  0.250
Al  0.620  0.380  0.750
Al  0.626  0.374  0.037
Al  0.626  0.374  0.463
Ge  0.225  0.775  0.110
Ge  0.225  0.775  0.390
Ge  0.775  0.225  0.610
Ge  0.775  0.225  0.890

=====

(6)
VASP calculation (PBE) on a geometry-optimized Hf6CN3 structure.

Summary:
Formation energy from raw total energies in meV/atom: -1011.9

a b c (Å): 5.554 6.083 10.143
angles (deg): 90.00 122.81 90.00
Element x y z (fractional)
Hf  0.080  0.040  0.253
Hf  0.080  0.460  0.753
Hf  0.260  0.691  0.084
Hf  0.260  0.809  0.584
Hf  0.401  0.181  0.063
Hf  0.401  0.319  0.563
Hf  0.599  0.681  0.437
Hf  0.599  0.819  0.937
Hf  0.740  0.191  0.416
Hf  0.740  0.309  0.916
Hf  0.920  0.540  0.247
Hf  0.920  0.960  0.747
C  0.000  0.000  0.000
C  0.000  0.500  0.500
N  0.335  0.120  0.824
N  0.335  0.380  0.324
N  0.500  0.000  0.500
N  0.500  0.500  0.000
N  0.665  0.620  0.676
N  0.665  0.880  0.176